Entry 1:
Compound: TbHo2Mn
Source: Alexandria via LeMat-Bulk
Functional: PBE
Structure: optimized geometry Values from VASP.

```
&SYSTEM
  ibrav = 0, nat = 4, ntyp = 3
/
ATOMIC_SPECIES
Tb 158.93 Tb.upf
Ho 164.93 Ho.upf
Mn 54.94 Mn.upf
CELL_PARAMETERS angstrom
3.526 0.000 0.000
0.000 3.526 0.000
0.000 0.000 8.603
ATOMIC_POSITIONS crystal
Tb 0.000 0.000 0.000
Ho 0.500 0.500 0.300
Ho 0.500 0.500 0.700
Mn 0.000 0.000 0.500
```

Computed properties:
- energy of formation (kJ/mol of atoms) = 11.5

Entry 2:
Compound: LiYN2O
Source: Alexandria via LeMat-Bulk
Functional: PBE
Structure: optimized geometry Values from VASP.

```
&SYSTEM
  ibrav = 0, nat = 5, ntyp = 4
/
ATOMIC_SPECIES
Li 6.94 Li.upf
Y 88.91 Y.upf
N 14.01 N.upf
O 16.00 O.upf
CELL_PARAMETERS angstrom
4.642 0.000 0.000
0.000 4.642 0.000
0.000 0.000 4.370
ATOMIC_POSITIONS crystal
Li 0.000 0.000 0.000
Y 0.500 0.500 0.500
N 0.000 0.500 0.500
N 0.500 0.000 0.500
O 0.500 0.500 0.000
```

Computed properties:
- energy relative to the elements, uncorrected (eV per atom) = 0.11

Entry 3:
Compound: TiNi2Ir
Source: Alexandria via LeMat-Bulk
Functional: PBE
Structure: optimized geometry Values from VASP.

```
&SYSTEM
  ibrav = 0, nat = 8, ntyp = 3
/
ATOMIC_SPECIES
Ti 47.87 Ti.upf
Ni 58.69 Ni.upf
Ir 192.22 Ir.upf
CELL_PARAMETERS angstrom
-1.795 1.795 8.754
1.795 -1.795 8.754
1.795 1.795 -8.754
ATOMIC_POSITIONS crystal
Ti 0.000 0.000 0.000
Ti 0.750 0.250 0.500
Ni 0.132 0.625 0.007
Ni 0.375 0.382 0.507
Ni 0.618 0.125 0.993
Ni 0.875 0.868 0.493
Ir 0.250 0.750 0.500
Ir 0.500 0.500 0.000
```

Computed properties:
- energy of formation (kJ/mol of atoms) = -5.2

Entry 4:
Compound: B2C
Source: Alexandria via LeMat-Bulk
Functional: PBE
Structure: optimized geometry Values from VASP.

```
&SYSTEM
  ibrav = 0, nat = 12, ntyp = 2
/
ATOMIC_SPECIES
B 10.81 B.upf
C 12.01 C.upf
CELL_PARAMETERS angstrom
5.991 -1.368 0.000
5.991 1.368 0.000
-1.124 0.000 5.467
ATOMIC_POSITIONS crystal
B 0.000 0.000 0.000
B 0.008 0.008 0.597
B 0.194 0.194 0.690
B 0.363 0.363 0.243
B 0.380 0.380 0.743
B 0.685 0.685 0.935
B 0.728 0.728 0.430
B 0.776 0.776 0.720
C 0.103 0.103 0.861
C 0.441 0.441 0.035
C 0.448 0.448 0.514
C 0.767 0.767 0.198
```

Computed properties:
- energy of formation (kJ/mol of atoms) = 32.6

Entry 5:
Compound: NaRe2SnO8
Source: Alexandria via LeMat-Bulk
Functional: PBE
Structure: optimized geometry Values from VASP.

```
&SYSTEM
  ibrav = 0, nat = 12, ntyp = 4
/
ATOMIC_SPECIES
Na 22.99 Na.upf
Re 186.21 Re.upf
Sn 118.71 Sn.upf
O 16.00 O.upf
CELL_PARAMETERS angstrom
5.740 -3.235 0.000
5.740 3.235 0.000
-0.878 0.000 5.807
ATOMIC_POSITIONS crystal
Na 0.000 0.000 0.000
Re 0.311 0.311 0.872
Re 0.689 0.689 0.128
Sn 0.500 0.500 0.500
O 0.158 0.158 0.778
O 0.187 0.589 0.741
O 0.346 0.346 0.175
O 0.411 0.813 0.259
O 0.589 0.187 0.741
O 0.654 0.654 0.825
O 0.813 0.411 0.259
O 0.842 0.842 0.222
```

Computed properties:
- energy relative to the elements, uncorrected (eV per atom) = -1.53

Entry 6:
Compound: PmAlSn2
Source: Alexandria via LeMat-Bulk
Functional: PBE
Structure: optimized geometry Values from VASP.

```
&SYSTEM
  ibrav = 0, nat = 4, ntyp = 3
/
ATOMIC_SPECIES
Pm 145.00 Pm.upf
Al 26.98 Al.upf
Sn 118.71 Sn.upf
CELL_PARAMETERS angstrom
2.411 1.392 5.185
-2.411 1.392 5.185
0.000 -2.784 5.185
ATOMIC_POSITIONS crystal
Pm 0.000 0.000 0.000
Al 0.500 0.500 0.500
Sn 0.223 0.223 0.223
Sn 0.777 0.777 0.777
```

Computed properties:
- energy of formation (kJ/mol of atoms) = -24.0

Entry 7:
Compound: Th2TeSe
Source: Alexandria via LeMat-Bulk
Functional: PBE
Structure: optimized geometry Values from VASP.

```
&SYSTEM
  ibrav = 0, nat = 4, ntyp = 3
/
ATOMIC_SPECIES
Th 232.04 Th.upf
Te 127.60 Te.upf
Se 78.96 Se.upf
CELL_PARAMETERS angstrom
3.757 0.000 0.000
0.000 3.757 0.000
0.000 0.000 7.534
ATOMIC_POSITIONS crystal
Th 0.000 0.000 0.242
Th 0.000 0.000 0.758
Te 0.500 0.500 0.500
Se 0.500 0.500 0.000
```

Computed properties:
- energy relative to the elements, uncorrected (eV per atom) = -1.20

Entry 8:
Compound: Ba2Sr2Hg
Source: Alexandria via LeMat-Bulk
Functional: PBE
Structure: optimized geometry Values from VASP.

```
&SYSTEM
  ibrav = 0, nat = 5, ntyp = 3
/
ATOMIC_SPECIES
Ba 137.33 Ba.upf
Sr 87.62 Sr.upf
Hg 200.59 Hg.upf
CELL_PARAMETERS angstrom
-2.129 2.129 13.708
2.129 -2.129 13.708
2.129 2.129 -13.708
ATOMIC_POSITIONS crystal
Ba 0.073 0.073 0.000
Ba 0.927 0.927 0.000
Sr 0.306 0.306 0.000
Sr 0.694 0.694 0.000
Hg 0.500 0.500 0.000
```

Computed properties:
- energy of formation (kJ/mol of atoms) = -20.8